DFT (PBE-GGA) results for a relaxed YTlBi2 crystal.

Cell lengths 7.1600, 7.1600, 13.7830 Å; angles 90.00, 90.00, 90.00 degrees
Last column: nearest neighbours and their distance in Å.
Element x y z (fractional)
Y  0.0000  0.0000  0.0000  4 Bi 3.09
Y  0.0000  0.5000  0.2500  4 Bi 3.09
Y  0.5000  0.0000  0.7500  4 Bi 3.09
Y  0.5000  0.5000  0.5000  4 Bi 3.09
Tl  0.0000  0.0000  0.5000  4 Bi 3.04
Tl  0.0000  0.5000  0.7500  4 Bi 3.04
Tl  0.5000  0.0000  0.2500  4 Bi 3.04
Tl  0.5000  0.5000  0.0000  4 Bi 3.04
Bi  0.2438  0.2500  0.6250  2 Tl 3.04, 2 Y 3.09
Bi  0.2500  0.7438  0.8750  2 Tl 3.04, 2 Y 3.09
Bi  0.2500  0.7562  0.3750  2 Tl 3.04, 2 Y 3.09
Bi  0.2562  0.2500  0.1250  2 Tl 3.04, 2 Y 3.09
Bi  0.7438  0.7500  0.1250  2 Tl 3.04, 2 Y 3.09
Bi  0.7500  0.2438  0.3750  2 Tl 3.04, 2 Y 3.09
Bi  0.7500  0.2562  0.8750  2 Tl 3.04, 2 Y 3.09
Bi  0.7562  0.7500  0.6250  2 Tl 3.04, 2 Y 3.09

Properties
The offset from the most stable computed form is 8.90 kcal/mol of atoms. The symmetry is I-42d.

DFT (PBE-GGA) results for a relaxed Y3TlBi crystal.

Cell lengths 5.6741, 5.6741, 5.6741 Å; angles 90.00, 90.00, 90.00 degrees
Last column: nearest neighbours and their distance in Å.
Element x y z (fractional)
Y  0.0000  0.0000  0.5000  2 Tl 2.84
Y  0.0000  0.5000  0.0000  2 Tl 2.84
Y  0.5000  0.0000  0.0000  2 Tl 2.84
Tl  0.0000  0.0000  0.0000  6 Y 2.84
Bi  0.5000  0.5000  0.5000  12 Y 4.01

Properties
The offset from the most stable computed form is 10.17 kcal/mol of atoms. The symmetry is Pm-3m.

DFT (PBE-GGA) results for a relaxed Y2Tl2Bi crystal.

Cell lengths 8.2060, 8.2060, 4.3324 Å; angles 90.00, 90.00, 90.00 degrees
Last column: nearest neighbours and their distance in Å.
Element x y z (fractional)
Y  0.1724  0.3276  0.0000  6 Tl 3.16-3.31
Y  0.3276  0.8276  0.0000  6 Tl 3.16-3.31
Y  0.6724  0.1724  0.0000  6 Tl 3.16-3.31
Y  0.8276  0.6724  0.0000  6 Tl 3.16-3.31
Tl  0.1293  0.6293  0.5000  1 Tl 3.00, 6 Y 3.16-3.31, 2 Bi 3.22
Tl  0.3707  0.1293  0.5000  1 Tl 3.00, 6 Y 3.16-3.31, 2 Bi 3.22
Tl  0.6293  0.8707  0.5000  1 Tl 3.00, 6 Y 3.16-3.31, 2 Bi 3.22
Tl  0.8707  0.3707  0.5000  1 Tl 3.00, 6 Y 3.16-3.31, 2 Bi 3.22
Bi  0.0000  0.0000  0.5000  4 Tl 3.22
Bi  0.5000  0.5000  0.5000  4 Tl 3.22

Properties
The offset from the most stable computed form is 0.09 kcal/mol of atoms. The symmetry is P4/mbm.

DFT (PBE-GGA) results for a relaxed Y3TlBi crystal.

Cell lengths 9.5868, 9.5868, 8.3571 Å; angles 105.86, 105.86, 25.70 degrees
Last column: nearest neighbours and their distance in Å.
Element x y z (fractional)
Y  0.0727  0.0727  0.3491  4 Tl 3.20-3.53, 2 Bi 3.25
Y  0.1645  0.1645  0.9075  2 Tl 3.19, 3 Bi 3.19-3.50
Y  0.2874  0.2874  0.3917  1 Tl 3.10, 3 Bi 3.22-3.34, 2 Y 3.35
Y  0.7126  0.7126  0.6083  1 Tl 3.10, 3 Bi 3.22-3.34, 2 Y 3.35
Y  0.8355  0.8355  0.0925  2 Tl 3.19, 3 Bi 3.19-3.50
Y  0.9273  0.9273  0.6509  4 Tl 3.20-3.53, 2 Bi 3.25
Tl  0.4425  0.4425  0.3253  5 Y 3.10-3.20, 1 Tl 3.10
Tl  0.5575  0.5575  0.6747  5 Y 3.10-3.20, 1 Tl 3.10
Bi  0.3341  0.3341  0.8075  8 Y 3.19-3.50
Bi  0.6659  0.6659  0.1925  8 Y 3.19-3.50

Properties
The offset from the most stable computed form is 0.00 kcal/mol of atoms. The symmetry is C2/m.

DFT (PBE-GGA) results for a relaxed YTlBi2 crystal.

Cell lengths 4.3630, 4.3630, 24.9325 Å; angles 90.00, 90.00, 120.00 degrees
Last column: nearest neighbours and their distance in Å.
Element x y z (fractional)
Y  0.0000  0.0000  0.0000  6 Bi 3.17
Y  0.3333  0.6667  0.6667  6 Bi 3.17
Y  0.6667  0.3333  0.3333  6 Bi 3.17
Tl  0.0000  0.0000  0.5000  6 Bi 3.36
Tl  0.3333  0.6667  0.1667  6 Bi 3.36
Tl  0.6667  0.3333  0.8333  6 Bi 3.36
Bi  0.0000  0.0000  0.2560  3 Y 3.17, 3 Tl 3.36
Bi  0.0000  0.0000  0.7440  3 Y 3.17, 3 Tl 3.36
Bi  0.3333  0.6667  0.4106  3 Y 3.17, 3 Tl 3.36
Bi  0.3333  0.6667  0.9227  3 Y 3.17, 3 Tl 3.36
Bi  0.6667  0.3333  0.0773  3 Y 3.17, 3 Tl 3.36
Bi  0.6667  0.3333  0.5894  3 Y 3.17, 3 Tl 3.36

Properties
The offset from the most stable computed form is 4.34 kcal/mol of atoms. The symmetry is R-3m.

DFT (PBE-GGA) results for a relaxed YTl2Bi crystal.

Cell lengths 3.5397, 3.5397, 36.1152 Å; angles 90.00, 90.00, 120.00 degrees
Last column: nearest neighbours and their distance in Å.
Element x y z (fractional)
Y  0.0000  0.0000  0.0000  2 Tl 3.18, 6 Y 3.54
Y  0.3333  0.6667  0.6667  2 Tl 3.18, 6 Y 3.54
Y  0.6667  0.3333  0.3333  2 Tl 3.18, 6 Y 3.54
Tl  0.0000  0.0000  0.0881  1 Y 3.18, 3 Bi 3.50, 6 Tl 3.54
Tl  0.0000  0.0000  0.9119  1 Y 3.18, 3 Bi 3.50, 6 Tl 3.54
Tl  0.3333  0.6667  0.5786  1 Y 3.18, 3 Bi 3.50, 6 Tl 3.54
Tl  0.3333  0.6667  0.7547  1 Y 3.18, 3 Bi 3.50, 6 Tl 3.54
Tl  0.6667  0.3333  0.2453  1 Y 3.18, 3 Bi 3.50, 6 Tl 3.54
Tl  0.6667  0.3333  0.4214  1 Y 3.18, 3 Bi 3.50, 6 Tl 3.54
Bi  0.0000  0.0000  0.5000  6 Tl 3.50, 6 Bi 3.54
Bi  0.3333  0.6667  0.1667  6 Tl 3.50, 6 Bi 3.54
Bi  0.6667  0.3333  0.8333  6 Tl 3.50, 6 Bi 3.54

Properties
The calculation puts the total energy at -44.02 eV for the cell shown. The symmetry is R-3m.